1.
The following is a GGA-PBE calculation of a geometry-optimized Y7GeI12 structure, from Alexandria via LeMat-Bulk.

Summary:
M_tot (Bohr magnetons per cell): 0.0
Energy relative to the elements, uncorrected (eV per atom): -1.263
Energy (Ry/atom): -0.344

a b c (Å): 9.736 9.736 9.736
angles (deg): 107.96 107.96 107.96
Fractional positions:
Y (0.000, 0.000, 0.000)
Y (0.188, 0.466, 0.396)
Y (0.396, 0.188, 0.466)
Y (0.466, 0.396, 0.188)
Y (0.534, 0.604, 0.812)
Y (0.604, 0.812, 0.534)
Y (0.812, 0.534, 0.604)
Ge (0.500, 0.500, 0.500)
I (0.032, 0.111, 0.345)
I (0.111, 0.345, 0.032)
I (0.186, 0.578, 0.729)
I (0.271, 0.814, 0.422)
I (0.345, 0.032, 0.111)
I (0.422, 0.271, 0.814)
I (0.578, 0.729, 0.186)
I (0.655, 0.968, 0.889)
I (0.729, 0.186, 0.578)
I (0.814, 0.422, 0.271)
I (0.889, 0.655, 0.968)
I (0.968, 0.889, 0.655)

---

2.
The following is a GGA-PBE calculation of a geometry-optimized La4Ho3ErTe8 structure, from Alexandria via LeMat-Bulk.

Summary:
M_tot (Bohr magnetons per cell): 0.0
Energy relative to the elements, uncorrected (eV per atom): -1.422
Energy (Ry/atom): -0.395

a b c (Å): 9.004 9.004 9.004
angles (deg): 58.68 58.68 58.68
Fractional positions:
La (0.000, 0.000, 0.000)
La (0.000, 0.500, 0.500)
La (0.500, 0.000, 0.500)
La (0.500, 0.500, 0.000)
Ho (0.000, 0.000, 0.500)
Ho (0.000, 0.500, 0.000)
Ho (0.500, 0.000, 0.000)
Er (0.500, 0.500, 0.500)
Te (0.244, 0.244, 0.244)
Te (0.244, 0.743, 0.743)
Te (0.257, 0.257, 0.756)
Te (0.257, 0.756, 0.257)
Te (0.743, 0.244, 0.743)
Te (0.743, 0.743, 0.244)
Te (0.756, 0.257, 0.257)
Te (0.756, 0.756, 0.756)

---

3.
The following is a GGA-PBE calculation of a geometry-optimized YSc3In structure, from Alexandria via LeMat-Bulk.

Summary:
M_tot (Bohr magnetons per cell): 0.0
Formation energy (eV/atom): 0.405
Energy (Ry/atom): -0.385

a b c (Å): 5.387 5.387 5.387
angles (deg): 90.00 90.00 90.00
Fractional positions:
Y (0.000, 0.000, 0.000)
Sc (0.000, 0.500, 0.500)
Sc (0.500, 0.000, 0.500)
Sc (0.500, 0.500, 0.000)
In (0.500, 0.500, 0.500)

---

4.
The following is a GGA-PBE calculation of a geometry-optimized Bi3PRu structure, from Alexandria via LeMat-Bulk.

Summary:
M_tot (Bohr magnetons per cell): 0.0
Formation energy (eV/atom): 0.707
Energy (Ry/atom): -0.335

a b c (Å): 5.235 5.235 5.235
angles (deg): 90.00 90.00 90.00
Fractional positions:
Bi (0.000, 0.000, 0.500)
Bi (0.000, 0.500, 0.000)
Bi (0.500, 0.000, 0.000)
P (0.500, 0.500, 0.500)
Ru (0.000, 0.000, 0.000)

---

5.
The following is a GGA-PBE calculation of a geometry-optimized Ce2Al4InPd3 structure, from Alexandria via LeMat-Bulk.

Summary:
M_tot (Bohr magnetons per cell): 1.4
Formation energy (eV/atom): -0.685
Energy (Ry/atom): -0.382

a b c (Å): 4.311 4.311 10.801
angles (deg): 90.00 90.00 90.00
Fractional positions:
Ce (0.000, 0.500, 0.240)
Ce (0.500, 0.000, 0.760)
Al (0.000, 0.000, 0.000)
Al (0.000, 0.500, 0.648)
Al (0.500, 0.000, 0.352)
Al (0.500, 0.500, 0.000)
In (0.000, 0.000, 0.500)
Pd (0.000, 0.500, 0.875)
Pd (0.500, 0.000, 0.125)
Pd (0.500, 0.500, 0.500)

---

6.
The following is a GGA-PBE calculation of a geometry-optimized HfNb2SO structure, from Alexandria via LeMat-Bulk.

Summary:
M_tot (Bohr magnetons per cell): 0.0
Energy relative to the elements, uncorrected (eV per atom): -0.619
Energy (Ry/atom): -0.621

a b c (Å): 4.015 4.015 5.367
angles (deg): 90.00 90.00 90.00
Fractional positions:
Hf (0.000, 0.000, 0.000)
Nb (0.000, 0.500, 0.500)
Nb (0.500, 0.000, 0.500)
S (0.500, 0.500, 0.000)
O (0.500, 0.500, 0.500)

---

7.
The following is a GGA-PBE calculation of a geometry-optimized MnCu2Re structure, from Alexandria via LeMat-Bulk.

Summary:
M_tot (Bohr magnetons per cell): 2.2
Formation energy (eV/atom): 0.232
Energy (Ry/atom): -0.531

a b c (Å): 4.491 4.491 4.683
angles (deg): 97.69 97.69 33.49
Fractional positions:
Mn (0.000, 0.000, 0.000)
Cu (0.495, 0.495, 0.497)
Cu (0.747, 0.747, 0.277)
Re (0.245, 0.245, 0.777)

---

8.
The following is a GGA-PBE calculation of a geometry-optimized Co structure, from Alexandria via LeMat-Bulk.

Summary:
M_tot (Bohr magnetons per cell): 3.7
Formation energy (eV/atom): 1.013
Energy (Ry/atom): -0.448

a b c (Å): 3.923 3.923 2.296
angles (deg): 90.00 90.00 120.00
Fractional positions:
Co (0.333, 0.667, 0.000)
Co (0.667, 0.333, 0.000)